Entry 1:
Material: LiPb2W
Method: DFT, GGA-PBE
State: relaxed

Calculated values
Energy above the most stable polymorph in this dataset   180.3 meV per atom
Energy   -19.7 eV per cell
Energy of formation   0.637 eV/atom
V   86.4 Å³ per cell

Lattice parameters (Å, degrees): 3.050 4.856 5.834 90.00 90.00 90.00
Sites, in units of the cell vectors:
Li (0.500, 0.500, 0.761)
Pb (0.000, 0.000, 0.958)
Pb (0.500, 0.500, 0.299)
W (0.000, 0.000, 0.481)

=====

Entry 2:
Material: Li4Y3Pb4
Method: DFT, GGA-PBE
State: relaxed

Calculated values
Energy   -47.2 eV per cell
Energy of formation   -0.483 eV/atom
V   258.0 Å³ per cell

Lattice parameters (Å, degrees): 4.654 7.271 8.763 114.51 105.40 90.00
Sites, in units of the cell vectors:
Li (0.326, 0.136, 0.651)
Li (0.674, 0.485, 0.349)
Li (0.674, 0.864, 0.349)
Li (0.326, 0.515, 0.651)
Y (0.126, 0.126, 0.252)
Y (0.874, 0.874, 0.748)
Y (0.000, 0.500, 0.000)
Pb (0.215, 0.715, 0.431)
Pb (0.785, 0.285, 0.569)
Pb (0.500, 0.791, 0.000)
Pb (0.500, 0.209, 0.000)

=====

Entry 3:
Material: LiYPb2
Method: DFT, GGA-PBE
State: relaxed

Calculated values
Energy   -17.3 eV per cell
Energy of formation   -0.376 eV/atom
V   106.5 Å³ per cell

Lattice parameters (Å, degrees): 5.411 3.637 5.411 90.00 90.00 90.00
Sites, in units of the cell vectors:
Pb (0.000, 0.125, 0.875)
Pb (0.500, 0.125, 0.375)
Y (0.000, 0.625, 0.375)
Li (0.500, 0.625, 0.875)

=====

Entry 4:
Material: LiYPb2
Method: DFT, GGA-PBE
State: relaxed

Calculated values
Energy   -16.7 eV per cell
Energy of formation   -0.237 eV/atom
V   110.1 Å³ per cell

Lattice parameters (Å, degrees): 10.040 10.040 10.040 20.64 20.64 20.64
Sites, in units of the cell vectors:
Li (0.750, 0.750, 0.750)
Pb (0.006, 0.006, 0.006)
Pb (0.494, 0.494, 0.494)
Y (0.250, 0.250, 0.250)

=====

Entry 5:
Material: LiYPb2
Method: DFT, GGA-PBE
State: relaxed

Calculated values
Energy   -32.4 eV per cell
Energy of formation   -0.098 eV/atom
V   239.5 Å³ per cell

Lattice parameters (Å, degrees): 4.979 4.979 10.280 75.98 75.98 90.00
Sites, in units of the cell vectors:
Pb (0.572, 0.125, 0.250)
Pb (0.178, 0.625, 0.250)
Pb (0.375, 0.428, 0.750)
Pb (0.875, 0.822, 0.750)
Y (0.000, 0.000, 0.000)
Y (0.750, 0.250, 0.500)
Li (0.500, 0.500, 0.000)
Li (0.250, 0.750, 0.500)

=====

Entry 6:
Material: Li3YPb
Method: DFT, GGA-PBE
State: relaxed

Calculated values
Energy above the most stable polymorph in this dataset   782.7 meV per atom
Energy   -11.3 eV per cell
Energy of formation   0.917 eV/atom
V   157.6 Å³ per cell

Lattice parameters (Å, degrees): 5.402 5.402 5.402 90.00 90.00 90.00
Last column: magnetic moment on the atom in μB.
Sites, in units of the cell vectors:
Pb (0.500, 0.500, 0.500)  -0.03
Y (0.000, 0.000, 0.000)  0.61
Li (0.000, 0.500, 0.000)  0.02
Li (0.000, 0.000, 0.500)  0.03
Li (0.500, 0.000, 0.000)  0.03

=====

Entry 7:
Material: LiYPb2
Method: DFT, GGA-PBE
State: relaxed

Calculated values
Energy   -17.2 eV per cell
Energy of formation   -0.353 eV/atom
V   104.4 Å³ per cell

Lattice parameters (Å, degrees): 4.369 3.454 7.765 62.97 90.00 90.00
Last column: magnetic moment on the atom in μB.
Sites, in units of the cell vectors:
Pb (0.000, 0.017, 0.985)  0.00
Pb (0.000, 0.483, 0.515)  0.00
Y (0.500, 0.250, 0.250)  0.08
Li (0.500, 0.750, 0.750)  0.00

=====

Entry 8:
Material: LiYPb2
Method: DFT, GGA-PBE
State: relaxed

Calculated values
Energy   -17.1 eV per cell
Energy of formation   -0.319 eV/atom
V   105.5 Å³ per cell

Lattice parameters (Å, degrees): 6.182 6.182 6.182 137.77 137.80 61.23
Sites, in units of the cell vectors:
Li (0.754, 0.254, 0.500)
Pb (0.995, 0.995, 0.000)
Pb (0.249, 0.749, 0.500)
Y (0.503, 0.503, 0.000)